# 1
PBE K2DyZrSe4, relaxed; formation energy from raw total energies = -1525.7 meV per atom
1.0
7.071 0.000 0.000
0.000 4.047 0.000
-2.320 0.000 7.733
K Dy Zr Se
2 1 1 4
Cartesian
0.000 0.000 0.000
3.535 2.023 0.000
-1.160 2.023 3.866
2.375 0.000 3.866
0.098 0.000 5.463
1.257 2.023 2.297
3.493 2.023 5.435
4.652 0.000 2.269

---

# 2
PBE K4Dy3ZrSe8, relaxed; formation energy from raw total energies = -1637.1 meV per atom
1.0
4.143 2.392 7.696
-4.143 2.392 7.696
0.000 -4.784 7.696
K Dy Zr Se
4 3 1 8
Cartesian
0.000 0.000 0.000
-2.071 -1.196 7.696
-2.071 1.196 15.391
0.000 2.392 7.696
-4.143 0.000 11.543
-2.071 1.196 3.848
2.071 1.196 3.848
0.000 0.000 11.543
0.000 0.000 5.446
-2.005 -1.158 13.111
0.000 -2.315 9.975
-2.005 1.158 9.975
2.005 -1.158 13.111
0.000 2.315 13.111
2.005 1.158 9.975
0.000 0.000 17.640

---

# 3
PBE K3Dy3ZrSe8, relaxed; formation energy from raw total energies = -1680.1 meV per atom
1.0
4.119 2.378 7.838
-4.119 2.378 7.838
0.000 -4.756 7.838
K Dy Zr Se
3 3 1 8
Cartesian
-2.059 -1.189 7.838
-2.059 1.189 15.676
0.000 2.378 7.838
-4.119 0.000 11.757
-2.059 1.189 3.919
2.059 1.189 3.919
0.000 0.000 11.757
0.000 0.000 5.525
-1.972 -1.139 13.305
0.000 -2.277 10.209
-1.972 1.139 10.209
1.972 -1.139 13.305
0.000 2.277 13.305
1.972 1.139 10.209
0.000 0.000 17.989

---

# 4
PBE KSm2Dy, relaxed; energy of formation = 0.2071 eV per atom
1.0
3.628 0.000 0.000
-1.814 3.142 0.000
0.000 0.000 40.000
K Sm Dy
3 6 3
Cartesian
0.000 0.000 0.000
0.000 2.094 26.667
1.814 1.047 13.333
0.000 0.000 3.828
0.000 0.000 36.172
0.000 2.094 22.839
0.000 2.094 30.494
1.814 1.047 9.506
1.814 1.047 17.161
0.000 0.000 20.000
0.000 2.094 6.667
1.814 1.047 33.333

---

# 5
PBE KSmDy2, relaxed; energy of formation = 0.2478 eV per atom
1.0
3.600 0.000 0.000
-1.800 3.118 0.000
0.000 0.000 39.809
K Sm Dy
3 3 6
Cartesian
0.000 0.000 0.000
0.000 2.079 26.539
1.800 1.039 13.270
0.000 0.000 19.905
0.000 2.079 6.635
1.800 1.039 33.174
0.000 0.000 3.787
0.000 0.000 36.022
0.000 2.079 22.753
0.000 2.079 30.326
1.800 1.039 9.483
1.800 1.039 17.056

---

# 6
PBE K2SmDyTe4, relaxed; formation energy from raw total energies = -1403.7 meV per atom
1.0
7.852 0.000 0.000
0.000 4.534 0.000
-2.612 0.000 8.249
K Sm Dy Te
2 1 1 4
Cartesian
0.000 0.000 0.000
3.926 2.267 0.000
-1.306 2.267 4.125
2.620 0.000 4.125
0.036 0.000 5.870
1.345 2.267 2.399
3.895 2.267 5.851
5.204 0.000 2.380

---

# 7
PBE K3Sm3DyTe8, relaxed; formation energy from raw total energies = -1325.9 meV per atom
1.0
4.464 2.577 8.507
-4.464 2.577 8.507
0.000 -5.155 8.507
K Sm Dy Te
3 3 1 8
Cartesian
-2.232 -1.289 8.507
-2.232 1.289 17.015
0.000 2.577 8.507
-4.464 0.000 12.761
-2.232 1.289 4.254
2.232 1.289 4.254
0.000 0.000 12.761
0.000 0.000 6.069
-2.210 -1.276 14.542
0.000 -2.552 10.980
-2.210 1.276 10.980
2.210 -1.276 14.542
0.000 2.552 14.542
2.210 1.276 10.980
0.000 0.000 19.454

---

# 8
PBE KSm2Dy3Te6, relaxed; formation energy from raw total energies = -1332.7 meV per atom
1.0
9.764 -2.197 0.000
9.764 2.197 0.000
-2.238 0.000 8.784
K Sm Dy Te
1 2 3 6
Cartesian
0.000 0.000 0.000
4.950 0.000 5.728
12.341 0.000 3.056
-1.119 0.000 4.392
6.185 0.000 1.551
11.105 0.000 7.233
1.865 0.000 5.173
3.214 0.000 0.721
8.092 0.000 6.443
9.198 0.000 2.342
14.077 0.000 8.063
15.425 0.000 3.612

---

# 9
PBE K3SmDy3Te8, relaxed; formation energy from raw total energies = -1322.0 meV per atom
1.0
4.414 2.549 8.475
-4.414 2.549 8.475
0.000 -5.097 8.475
K Sm Dy Te
3 1 3 8
Cartesian
-2.207 -1.274 8.475
-2.207 1.274 16.950
0.000 2.549 8.475
0.000 0.000 12.712
-4.414 0.000 12.712
-2.207 1.274 4.237
2.207 1.274 4.237
-2.256 -1.302 14.493
0.000 0.000 6.006
0.000 -2.605 10.932
-2.256 1.302 10.932
2.256 -1.302 14.493
0.000 2.605 14.493
0.000 0.000 19.419
2.256 1.302 10.932

---

# 10
PBE K4Sm3DyTe8, relaxed; formation energy from raw total energies = -1408.0 meV per atom
1.0
4.553 2.629 8.251
-4.553 2.629 8.251
0.000 -5.258 8.251
K Sm Dy Te
4 3 1 8
Cartesian
0.000 0.000 0.000
-2.277 -1.314 8.251
-2.277 1.314 16.502
0.000 2.629 8.251
-4.553 0.000 12.376
-2.277 1.314 4.125
2.277 1.314 4.125
0.000 0.000 12.376
0.000 0.000 5.884
-2.247 -1.297 14.116
0.000 -2.594 10.636
-2.247 1.297 10.636
2.247 -1.297 14.116
0.000 2.594 14.116
2.247 1.297 10.636
0.000 0.000 18.869

---

# 11
PBE K4SmDy3Te8, relaxed; formation energy from raw total energies = -1400.1 meV per atom
1.0
4.515 2.607 8.248
-4.515 2.607 8.248
0.000 -5.213 8.248
K Sm Dy Te
4 1 3 8
Cartesian
0.000 0.000 0.000
-2.257 -1.303 8.248
-2.257 1.303 16.496
0.000 2.607 8.248
0.000 0.000 12.372
-4.515 0.000 12.372
-2.257 1.303 4.124
2.257 1.303 4.124
-2.286 -1.320 14.103
0.000 0.000 5.838
0.000 -2.639 10.641
-2.286 1.320 10.641
2.286 -1.320 14.103
0.000 2.639 14.103
0.000 0.000 18.906
2.286 1.320 10.641

---

# 12
PBE KSmDy2Te4, relaxed; formation energy from raw total energies = -1325.3 meV per atom
1.0
7.811 0.000 0.000
0.000 4.403 0.000
-2.467 0.000 7.443
K Sm Dy Te
1 1 2 4
Cartesian
0.000 0.000 0.000
3.906 2.201 0.000
-1.234 2.201 3.722
2.672 0.000 3.722
0.145 0.000 5.493
1.400 2.201 2.006
3.944 2.201 5.437
5.198 0.000 1.950

---

# 13
PBE KDySn4, relaxed; energy of formation = -0.2167 eV per atom
1.0
0.000 4.442 4.442
4.442 0.000 4.442
4.442 4.442 0.000
K Dy Sn
1 1 4
Cartesian
0.000 0.000 0.000
2.221 2.221 2.221
5.544 3.340 3.340
3.340 5.544 3.340
3.340 3.340 5.544
5.544 5.544 5.544

---

# 14
PBE KDySn2, relaxed; energy of formation = -0.4169 eV per atom
1.0
4.076 0.000 0.000
0.000 4.076 0.000
0.000 0.000 7.885
K Dy Sn
1 1 2
Cartesian
0.000 0.000 0.000
0.000 0.000 3.943
2.038 2.038 2.471
2.038 2.038 5.414

---

# 15
PBE KDySn, relaxed; energy of formation = -0.2344 eV per atom
1.0
2.629 1.518 10.342
-2.629 1.518 10.342
0.000 -3.035 10.342
K Dy Sn
2 2 2
Cartesian
0.000 0.000 3.835
0.000 0.000 27.190
0.000 0.000 9.220
0.000 0.000 21.806
0.000 0.000 12.319
0.000 0.000 18.707

---

# 16
PBE K4Dy3SnTe8, relaxed; formation energy from raw total energies = -1178.6 meV per atom
1.0
7.812 -4.509 0.000
7.812 4.509 0.000
-5.214 0.000 8.236
K Dy Sn Te
4 3 1 8
Cartesian
0.000 0.000 0.000
3.906 2.255 0.000
3.906 -2.255 0.000
7.812 0.000 0.000
-2.607 0.000 4.118
1.299 2.255 4.118
1.299 -2.255 4.118
5.205 0.000 4.118
3.902 2.257 5.812
-0.003 0.000 5.839
2.597 0.000 2.423
6.508 2.257 2.424
3.902 -2.257 5.812
7.813 0.000 5.812
10.413 0.000 2.396
6.508 -2.257 2.424

---

# 17
PBE K3Dy3SnTe8, relaxed; formation energy from raw total energies = -1109.4 meV per atom
1.0
7.656 -4.411 0.000
7.656 4.411 0.000
-5.111 0.000 8.453
K Dy Sn Te
3 3 1 8
Cartesian
0.000 0.000 0.000
3.828 2.205 0.000
3.828 -2.205 0.000
1.272 2.205 4.227
1.272 -2.205 4.227
5.100 0.000 4.227
-2.556 0.000 4.227
3.841 2.236 5.950
-0.038 0.000 5.952
6.359 2.236 2.503
2.550 0.000 2.463
7.650 0.000 5.990
3.841 -2.236 5.950
10.238 0.000 2.502
6.359 -2.236 2.503

---

# 18
PBE K3Dy2SnTe6, relaxed; formation energy from raw total energies = -1100.4 meV per atom
1.0
3.907 -6.768 0.000
3.907 6.768 0.000
-2.604 0.000 8.240
K Dy Sn Te
3 2 1 6
Cartesian
0.000 0.000 0.000
3.907 2.247 0.000
3.907 -2.247 0.000
2.605 4.511 4.120
2.605 -4.511 4.120
2.605 0.000 4.120
1.300 2.261 2.419
-0.006 0.000 5.819
1.300 -2.261 2.419
3.910 2.261 5.820
5.216 0.000 2.420
3.910 -2.261 5.820

---

# 19
PBE KSr2Dy, relaxed; energy of formation = 0.3891 eV per atom
1.0
3.897 0.000 0.000
-1.948 3.375 0.000
0.000 0.000 44.313
K Sr Dy
3 6 3
Cartesian
0.000 0.000 0.000
0.000 2.250 29.542
1.948 1.125 14.771
0.000 0.000 18.598
0.000 0.000 25.715
0.000 2.250 3.827
0.000 2.250 10.944
1.948 1.125 33.369
1.948 1.125 40.487
0.000 0.000 22.157
0.000 2.250 7.386
1.948 1.125 36.928

---

# 20
PBE KTb2Dy, relaxed; energy of formation = 0.2314 eV per atom
1.0
3.586 0.000 0.000
-1.793 3.106 0.000
0.000 0.000 39.686
K Tb Dy
3 6 3
Cartesian
0.000 0.000 0.000
0.000 2.071 26.458
1.793 1.035 13.229
0.000 0.000 3.802
0.000 0.000 35.884
0.000 2.071 22.655
0.000 2.071 30.260
1.793 1.035 9.427
1.793 1.035 17.031
0.000 0.000 19.843
0.000 2.071 6.614
1.793 1.035 33.072

---

| no. | calculated volume (A^3/atom) |
| --- | --- |
| 1 | 27.66 |
| 2 | 28.60 |
| 3 | 30.71 |
| 4 | 37.99 |
| 5 | 37.24 |
| 6 | 36.71 |
| 7 | 39.16 |
| 8 | 31.40 |
| 9 | 38.15 |
| 10 | 37.04 |
| 11 | 36.40 |
| 12 | 32.00 |
| 13 | 29.21 |
| 14 | 32.75 |
| 15 | 41.25 |
| 16 | 36.26 |
| 17 | 38.06 |
| 18 | 36.32 |
| 19 | 48.56 |
| 20 | 36.84 |